a | A relaxed HfVAsBr2 crystal, computed with GGA-PBE.

The structure in POSCAR format:
```
HfVAsBr2
1.0
4.837 0.000 0.000
0.000 4.837 0.000
0.000 0.000 5.207
Hf V As Br
1 1 1 2
direct
0.000 0.000 0.000
0.500 0.500 0.500
0.500 0.500 0.000
0.000 0.500 0.500
0.500 0.000 0.500
```

Computed properties:
Density of states at the Fermi level   0.592 states/eV per atom
Size of the total moment   3.91 μB/f.u.
Space-group type   No. 123

b | A relaxed HfVAsBr2 crystal, computed with GGA-PBE.

The structure in POSCAR format:
```
HfVAsBr2
1.0
5.173 0.000 0.000
0.000 5.173 0.000
0.000 0.000 5.322
Hf V As Br
1 1 1 2
direct
0.000 0.000 0.000
0.500 0.500 0.500
0.000 0.000 0.500
0.000 0.500 0.000
0.500 0.000 0.000
```

Computed properties:
Density of states at the Fermi level   0.937 states/eV per atom
Size of the total moment   3.68 μB/f.u.
Space-group type   No. 123

Most stable structure among those shown: b.